Compound: Nd2SmSb
Source: the Alexandria database
Functional: PBE-GGA
Structure: relaxed

Output
V: 30.04 Å³/atom
ΔE_f (raw): -0.3199 eV per atom
Energy: -4.91 eV/atom
D(E_F): 10.69 states/eV/cell
Energy relative to the lowest polymorph listed for this composition: 0.240 eV/atom

Unit cell a=7.833 b=7.833 c=7.833 alpha=90.00 beta=90.00 gamma=90.00
Space group Fm-3m (No. 225)
Symmetry-distinct sites (fractional):
Nd 0.250 0.250 0.250 [8 per cell]
Sm 0.000 0.000 0.000 [4 per cell]
Sb 0.000 0.000 0.500 [4 per cell]